Record 1
First-principles (PBE) data for a relaxed structure of Yb2Be2SiO7, as listed in Alexandria.

Lattice parameters (Å, degrees): 7.3363 7.3363 4.8246 90.00 90.00 90.00
With the nearest neighbours (Å) after each atom.
Fractional coordinates of all 24 atoms:
Yb (0.1595, 0.6595, 0.4940)  6 O 2.28-2.42
Yb (0.3405, 0.1595, 0.5060)  6 O 2.28-2.42
Yb (0.8405, 0.3405, 0.4940)  6 O 2.28-2.42
Yb (0.6595, 0.8405, 0.5060)  6 O 2.28-2.42
O (0.0000, 0.5000, 0.8204)  2 Be 1.57
O (0.6405, 0.1405, 0.7126)  1 Be 1.60
O (0.4179, 0.6631, 0.1975)  1 Si 1.64, 1 Be 1.68
O (0.0821, 0.1631, 0.8025)  1 Si 1.64, 1 Be 1.68
O (0.8369, 0.0821, 0.1975)  1 Si 1.64, 1 Be 1.68
O (0.3595, 0.8595, 0.7126)  1 Be 1.60
O (0.3369, 0.4179, 0.8025)  1 Si 1.64, 1 Be 1.68
O (0.5821, 0.3369, 0.1975)  1 Si 1.64, 1 Be 1.68
O (0.1405, 0.3595, 0.2874)  1 Be 1.60
O (0.8595, 0.6405, 0.2874)  1 Be 1.60
O (0.6631, 0.5821, 0.8025)  1 Si 1.64, 1 Be 1.68
O (0.1631, 0.9179, 0.1975)  1 Si 1.64, 1 Be 1.68
O (0.5000, 0.0000, 0.1796)  2 Be 1.57
O (0.9179, 0.8369, 0.8025)  1 Si 1.64, 1 Be 1.68
Si (0.5000, 0.5000, 0.0000)  4 O 1.64
Si (0.0000, 0.0000, 0.0000)  4 O 1.64
Be (0.1381, 0.3619, 0.9549)  4 O 1.57-1.68
Be (0.3619, 0.8619, 0.0451)  4 O 1.57-1.68
Be (0.8619, 0.6381, 0.9549)  4 O 1.57-1.68
Be (0.6381, 0.1381, 0.0451)  4 O 1.57-1.68

Results
ρ ... 6.4 g/cm3
Electronic total energy ... -168.660 eV per cell


Record 2
First-principles (PBE) data for a relaxed structure of Be2Zn2SiO6, as listed in Alexandria.

Lattice parameters (Å, degrees): 4.8841 4.8841 5.9802 90.00 90.00 120.00
With the nearest neighbours (Å) after each atom.
Fractional coordinates of all 11 atoms:
O (0.3254, 0.0517, 0.1803)  1 Be 1.54
O (0.2737, 0.3254, 0.8197)  1 Be 1.54
O (0.9483, 0.2737, 0.1803)  1 Be 1.54
O (0.6746, 0.9483, 0.8197)  1 Be 1.54
O (0.7263, 0.6746, 0.1803)  1 Be 1.54
O (0.0517, 0.7263, 0.8197)  1 Be 1.54
Zn (0.6667, 0.3333, 0.7717)  3 O 1.92
Zn (0.3333, 0.6667, 0.2283)  3 O 1.92
Be (0.3333, 0.6667, 0.8081)  3 O 1.54
Be (0.6667, 0.3333, 0.1919)  3 O 1.54
Si (0.0000, 0.0000, 0.0000)  6 O 1.83

Results
ρ ... 3.7 g/cm3
Electronic total energy ... -66.952 eV per cell


Record 3
First-principles (PBE) data for a relaxed structure of Sm2BeO, as listed in Alexandria.

Lattice parameters (Å, degrees): 3.5734 3.5734 8.6309 78.05 78.05 60.00
With the nearest neighbours (Å) after each atom.
Fractional coordinates of all 4 atoms:
Be (0.0000, 0.0000, 0.0000)  2 Sm 2.87
Sm (0.8860, 0.8860, 0.3420)  3 O 2.45
Sm (0.1140, 0.1140, 0.6580)  3 O 2.45
O (0.5000, 0.5000, 0.5000)  6 Sm 2.45

Results
ρ ... 5.8 g/cm3
Electronic total energy ... -20.543 eV per cell


Record 4
First-principles (PBE) data for a relaxed structure of Sm2BeO4, as listed in Alexandria.

Lattice parameters (Å, degrees): 5.1652 5.3038 6.6288 90.00 108.89 90.00
With the nearest neighbours (Å) after each atom.
Fractional coordinates of all 14 atoms:
O (0.4747, 0.5125, 0.2613)  1 Be 1.62
O (0.5253, 0.0125, 0.7387)  1 Be 1.62
O (0.1027, 0.7500, 0.9396)  1 Be 1.69
O (0.4747, 0.9875, 0.2613)  1 Be 1.62
O (0.0630, 0.7500, 0.3551)  1 Be 1.66
O (0.5253, 0.4875, 0.7387)  1 Be 1.62
O (0.9370, 0.2500, 0.6449)  1 Be 1.66
O (0.8973, 0.2500, 0.0604)  1 Be 1.69
Be (0.2668, 0.7500, 0.2053)  4 O 1.62-1.69
Be (0.7332, 0.2500, 0.7947)  4 O 1.62-1.69
Sm (0.7061, 0.7500, 0.0402)  6 O 2.29-2.51
Sm (0.2939, 0.2500, 0.9598)  6 O 2.29-2.51
Sm (0.2207, 0.2500, 0.4297)  6 O 2.35-2.48
Sm (0.7793, 0.7500, 0.5703)  6 O 2.35-2.48

Results
ρ ... 7.2 g/cm3
Electronic total energy ... -109.898 eV per cell


Record 5
First-principles (PBE) data for a relaxed structure of Sm4BeO7, as listed in Alexandria.

Lattice parameters (Å, degrees): 3.9989 6.6948 6.7104 80.45 72.66 72.62
With the nearest neighbours (Å) after each atom.
Fractional coordinates of all 12 atoms:
Sm (0.5834, 0.2154, 0.6179)  5 O 2.31-2.49
Sm (0.2622, 0.3320, 0.1435)  4 O 2.21-2.38
Sm (0.4166, 0.7846, 0.3821)  5 O 2.31-2.49
Sm (0.7378, 0.6680, 0.8565)  4 O 2.21-2.38
O (0.6359, 0.4443, 0.2838)  4 Sm 2.31-2.49
O (0.5000, 0.0000, 0.0000)  2 Be 2.00
O (0.3641, 0.5557, 0.7162)  4 Sm 2.31-2.49
O (0.9234, 0.2438, 0.9094)  1 Be 1.62
O (0.1993, 0.1498, 0.4516)  4 Sm 2.21-2.41
O (0.8007, 0.8502, 0.5484)  4 Sm 2.21-2.41
O (0.0766, 0.7562, 0.0906)  1 Be 1.62
Be (0.0000, 0.0000, 0.0000)  2 O 1.62

Results
ρ ... 7.4 g/cm3
Electronic total energy ... -94.935 eV per cell


Record 6
First-principles (PBE) data for a relaxed structure of Sm3BeO, as listed in Alexandria.

Lattice parameters (Å, degrees): 4.8130 4.8130 4.8130 90.00 90.00 90.00
With the nearest neighbours (Å) after each atom.
Fractional coordinates of all 5 atoms:
Sm (0.5000, 0.0000, 0.0000)  2 O 2.41
Sm (0.0000, 0.0000, 0.5000)  2 O 2.41
Sm (0.0000, 0.5000, 0.0000)  2 O 2.41
O (0.0000, 0.0000, 0.0000)  6 Sm 2.41
Be (0.5000, 0.5000, 0.5000)  12 Sm 3.40

Results
ρ ... 7.1 g/cm3
Electronic total energy ... -27.810 eV per cell


Number 3 is which compound? Sm2BeO


electronic total energy of number 5 (Sm4BeO7)? -94.935 eV per cell


ρ of number 4 (Sm2BeO4)? 7.2 g/cm3


Number 1 is which compound? Yb2Be2SiO7